DFT (PBE-GGA) results for a relaxed Ac2Ho3Ru2 crystal.

```
Ac2Ho3Ru2
1.0
0.5677 -3.1433 2.3871
4.5072 -3.8570 -2.8201
7.5216 1.6936 3.7721
Ac Ho Ru
2 3 2
direct
0.1625 0.4658 0.2093
0.8375 0.5342 0.7907
0.5000 0.0000 0.0000
0.3729 0.8326 0.4215
0.6271 0.1674 0.5785
0.1711 0.8963 0.7616
0.8289 0.1037 0.2384
```

## Properties
Space-group type   C2/m (12)
Calculated density   9.46 g/cm3
Final energy   -6.05 eV/atom
DOS(E_F)   0.61 states/eV per atom
M_tot   0.000 μB/f.u.
Energy relative to the elements   -267 meV/atom